Crystalline SbRuCl2 at its relaxed geometry, computed with PBE.

ΔE_f (raw) = 0.350 eV/atom
E above lowest polymorph = 2.10 eV per formula unit

extended XYZ file:
```
4
Lattice="3.076 0.000 0.000 0.000 3.127 0.000 0.000 0.000 10.811" Properties=species:S:1:pos:R:3 pbc="T T T"
Sb 0.000 0.000 0.000
Ru 0.000 0.000 5.406
Cl 1.538 1.563 3.801
Cl 1.538 1.563 7.010
```